# 1
VASP calculation (GGA-PBE) on a geometry-optimized Ba2ReAg structure.

a b c (Å): 3.714 3.714 8.959
angles (deg): 90.00 90.00 90.00
Space group P4/mmm (No. 123)
One atom of each set of equivalent atoms:
1 Ba 0.000 0.000 0.234 (multiplicity 2)
2 Re 0.500 0.500 0.000 (multiplicity 1)
3 Ag 0.500 0.500 0.500 (multiplicity 1)

Computed properties:
The energy above the most stable polymorph in this dataset is 67.4 meV per atom. Its calculated volume is 124 Å³ per cell. The value obtained for the uncorrected energy is -4.003 eV/atom. The crystal system is tetragonal. The energy relative to the elements comes out at 3.1 eV/f.u.

=====

# 2
VASP calculation (GGA-PBE) on a geometry-optimized Ba2ReAg structure.

a b c (Å): 7.673 7.673 7.673
angles (deg): 90.00 90.00 90.00
Space group F-43m (No. 216)
One atom of each set of equivalent atoms:
1 Ba 0.000 0.000 0.000 (multiplicity 4)
2 Ba 0.250 0.250 0.250 (multiplicity 4)
3 Re 0.250 0.250 0.750 (multiplicity 4)
4 Ag 0.000 0.000 0.500 (multiplicity 4)

Computed properties:
The energy above the most stable polymorph in this dataset is 283.9 meV per atom. Its calculated volume is 452 Å³ per cell. The value obtained for the uncorrected energy is -3.786 eV/atom. The crystal system is cubic. The energy relative to the elements comes out at 4.0 eV/f.u.